1.
# BaIrBr2

Crystalline BaIrBr2 at its relaxed geometry (PBE-GGA, Alexandria via LeMat-Bulk).

Values from the calculation:
The total energy comes out at -3.677 eV per atom. The polymorph energy (0 for the lowest one) comes out at 0.4881 eV/atom. The uncorrected formation energy comes out at -3.3 kcal/mol of atoms. Its crystal system is tetragonal. For the size of the total moment, the calculation gives 1.4 Bohr magnetons per cell. Its calculated volume is 28.336 Å³/atom.

```
BaIrBr2
1.0
6.640 0.022 0.000
3.713 5.505 0.000
-5.176 -2.764 3.108
Br Ba Ir
2 1 1
direct
0.000 0.000 0.000
0.250 0.750 0.500
0.750 0.250 0.500
0.500 0.500 0.000
```


2.
# AlSBrN2

Crystalline AlSBrN2 at its relaxed geometry (PBE-GGA, Alexandria via LeMat-Bulk).

Values from the calculation:
The total energy comes out at -4.292 eV per atom. The polymorph energy (0 for the lowest one) comes out at 0.0000 eV/atom. The uncorrected formation energy comes out at 21.8 kcal/mol of atoms. Its crystal system is tetragonal. For the size of the total moment, the calculation gives 0.0 Bohr magnetons per cell. Its calculated volume is 18.098 Å³/atom.

```
AlSBrN2
1.0
-2.950 0.039 -2.171
-1.369 -2.877 1.807
-3.105 4.174 4.293
Br S N Al
1 1 2 1
direct
0.500 0.500 0.500
0.000 0.000 0.500
0.500 0.000 0.000
0.000 0.500 0.000
0.000 0.000 0.000
```


3.
# Pr2ErN3

Crystalline Pr2ErN3 at its relaxed geometry (PBE-GGA, Alexandria via LeMat-Bulk).

Values from the calculation:
The total energy comes out at -7.916 eV per atom. The uncorrected formation energy comes out at -32.3 kcal/mol of atoms. Its crystal system is tetragonal. For the size of the total moment, the calculation gives 0.0 Bohr magnetons per cell. Its calculated volume is 16.715 Å³/atom.

```
Pr2ErN3
1.0
3.525 0.000 -0.803
-0.183 3.520 -0.804
-0.011 -0.011 8.087
N Pr Er
3 2 1
direct
0.934 0.936 0.874
0.277 0.278 0.559
0.592 0.593 0.189
0.096 0.098 0.198
0.772 0.774 0.550
0.434 0.436 0.874
```


4.
# Na2BPd

Crystalline Na2BPd at its relaxed geometry (PBE-GGA, Alexandria via LeMat-Bulk).

Values from the calculation:
The total energy comes out at -2.884 eV per atom. The calculation puts the energy relative to the elements at 0.743 eV per atom. Its crystal system is tetragonal. For the size of the total moment, the calculation gives 0.3 Bohr magnetons per cell. Its calculated volume is 15.308 Å³/atom.

```
Na2BPd
1.0
-0.572 2.221 2.628
-2.039 -2.365 1.555
6.690 -3.768 6.958
Pd B Na
2 2 4
direct
0.750 0.250 0.500
0.000 0.000 0.000
0.250 0.750 0.500
0.500 0.500 0.000
0.135 0.625 0.250
0.615 0.125 0.250
0.875 0.865 0.750
0.375 0.385 0.750
```